{
  "formula": "Pa2TcGeSb",
  "functional": "GGA-PBE",
  "state": "relaxed",
  "space_group": "P2_1/m (11)",
  "formation_energy_uncorrected_ev_per_atom": -0.377,
  "lattice_angstrom": [[-4.297, -0.899, 0.512], [0.662, -5.516, -4.127], [1.424, -2.350, 7.817]],
  "species": ["Pa", "Pa", "Pa", "Pa", "Tc", "Tc", "Ge", "Ge", "Sb", "Sb"],
  "fractional_positions": [[0.750, 0.727, 0.573], [0.750, 0.718, 0.981], [0.250, 0.273, 0.427], [0.250, 0.282, 0.019], [0.250, 0.486, 0.717], [0.750, 0.514, 0.283], [0.250, 0.872, 0.815], [0.750, 0.128, 0.185], [0.250, 0.756, 0.274], [0.750, 0.244, 0.726]]
}

---

{
  "formula": "HfFeNiAu2",
  "functional": "GGA-PBE",
  "state": "relaxed",
  "space_group": "P4/mmm (123)",
  "formation_energy_ev_per_atom": 0.6340,
  "lattice_angstrom": [[-1.516, 1.716, -4.177], [-3.526, -2.297, 0.337], [-2.136, 3.609, 2.258]],
  "species": ["Hf", "Au", "Au", "Fe", "Ni"],
  "fractional_positions": [[0.500, 0.500, 0.500], [0.000, 0.000, 0.500], [0.500, 0.000, 0.000], [0.000, 0.000, 0.000], [0.000, 0.500, 0.000]]
}

---

{
  "formula": "ReP3O",
  "functional": "GGA-PBE",
  "state": "relaxed",
  "space_group": "Pm-3m (221)",
  "polymorph_energy_mev_per_atom": 0,
  "formation_energy_uncorrected_ev_per_atom": 0.689,
  "lattice_angstrom": [[4.005, 0.000, 0.000], [0.000, 4.005, 0.000], [0.000, 0.000, 4.005]],
  "species": ["Re", "O", "P", "P", "P"],
  "fractional_positions": [[0.500, 0.500, 0.500], [0.000, 0.000, 0.000], [0.000, 0.500, 0.000], [0.000, 0.000, 0.500], [0.500, 0.000, 0.000]]
}

---

{
  "formula": "SmDy2Ag2",
  "functional": "GGA-PBE",
  "state": "relaxed",
  "space_group": "C2/m (12)",
  "polymorph_energy_mev_per_atom": 181,
  "formation_energy_ev_per_atom": -0.0465,
  "lattice_angstrom": [[4.901, 0.531, -0.543], [-0.522, 4.902, -0.543], [-2.058, -2.553, 6.331]],
  "species": ["Sm", "Dy", "Dy", "Ag", "Ag"],
  "fractional_positions": [[0.000, 0.000, 0.000], [0.249, 0.751, 0.500], [0.751, 0.249, 0.500], [0.574, 0.574, 0.219], [0.426, 0.426, 0.781]]
}

---

{
  "formula": "InNiMoP2",
  "functional": "GGA-PBE",
  "state": "relaxed",
  "space_group": "P4/mmm (123)",
  "formation_energy_ev_per_atom": 1.6327,
  "lattice_angstrom": [[4.927, 0.000, 0.000], [0.000, 4.598, 0.000], [0.000, 0.000, 4.927]],
  "species": ["Ni", "Mo", "P", "P", "In"],
  "fractional_positions": [[0.000, 0.500, 0.000], [0.500, 0.500, 0.500], [0.000, 0.000, 0.500], [0.500, 0.000, 0.000], [0.000, 0.000, 0.000]]
}

---

{
  "formula": "Pr3N2Cl",
  "functional": "GGA-PBE",
  "state": "relaxed",
  "space_group": "Imma (74)",
  "polymorph_energy_mev_per_atom": 280,
  "formation_energy_uncorrected_ev_per_atom": -0.991,
  "lattice_angstrom": [[-4.492, 5.403, 0.490], [-1.564, -1.870, 6.289], [7.410, 1.684, -1.273]],
  "species": ["Pr", "Pr", "Pr", "Pr", "Pr", "Pr", "N", "N", "N", "N", "Cl", "Cl"],
  "fractional_positions": [[0.000, 0.753, 0.000], [0.000, 0.247, 0.000], [0.500, 0.747, 0.000], [0.000, 0.000, 0.500], [0.000, 0.500, 0.500], [0.500, 0.253, 0.000], [0.088, 0.909, 0.818], [0.230, 0.409, 0.818], [0.770, 0.591, 0.182], [0.912, 0.091, 0.182], [0.657, 0.250, 0.500], [0.343, 0.750, 0.500]]
}

---

{
  "formula": "Pm3Mg2Ru3C",
  "functional": "GGA-PBE",
  "state": "relaxed",
  "space_group": "P-62m (189)",
  "formation_energy_ev_per_atom": 0.1671,
  "lattice_angstrom": [[3.451, 0.000, 0.000], [0.000, 7.776, 0.000], [0.000, -3.888, 6.734]],
  "species": ["Pm", "Pm", "Pm", "Mg", "Mg", "Ru", "Ru", "Ru", "C"],
  "fractional_positions": [[0.000, 0.000, 0.341], [0.000, 0.659, 0.659], [0.000, 0.341, 0.000], [0.500, 0.333, 0.667], [0.500, 0.667, 0.333], [0.500, 0.792, 0.000], [0.500, 0.208, 0.208], [0.500, 0.000, 0.792], [0.000, 0.000, 0.000]]
}

---

{
  "formula": "CaBeNb2",
  "functional": "GGA-PBE",
  "state": "relaxed",
  "space_group": "I-42d (122)",
  "formation_energy_ev_per_atom": 1.0052,
  "lattice_angstrom": [[-0.384, -3.944, -1.705], [1.776, -1.704, 3.543], [-8.091, -3.691, 4.906]],
  "species": ["Be", "Be", "Nb", "Nb", "Nb", "Nb", "Ca", "Ca"],
  "fractional_positions": [[0.500, 0.500, 0.000], [0.250, 0.750, 0.500], [0.253, 0.125, 0.250], [0.497, 0.625, 0.250], [0.375, 0.747, 0.750], [0.875, 0.503, 0.750], [0.000, 0.000, 0.000], [0.750, 0.250, 0.500]]
}

---

{
  "formula": "Ac8BiN6",
  "functional": "GGA-PBE",
  "state": "relaxed",
  "space_group": "R-3 (148)",
  "formation_energy_uncorrected_ev_per_atom": -0.900,
  "lattice_angstrom": [[-0.382, 6.869, 2.830], [-6.900, 0.509, -2.733], [-2.499, -2.984, 6.340]],
  "species": ["Ac", "Ac", "Ac", "Ac", "Ac", "Ac", "Ac", "Ac", "Bi", "N", "N", "N", "N", "N", "N"],
  "fractional_positions": [[0.721, 0.721, 0.721], [0.279, 0.279, 0.279], [0.607, 0.858, 0.289], [0.858, 0.289, 0.607], [0.289, 0.607, 0.858], [0.393, 0.142, 0.711], [0.142, 0.711, 0.393], [0.711, 0.393, 0.142], [0.000, 0.000, 0.000], [0.609, 0.422, 0.820], [0.422, 0.820, 0.609], [0.820, 0.609, 0.422], [0.391, 0.578, 0.180], [0.578, 0.180, 0.391], [0.180, 0.391, 0.578]]
}

---

{
  "formula": "RbNb2CdCu",
  "functional": "GGA-PBE",
  "state": "relaxed",
  "space_group": "P4/mmm (123)",
  "formation_energy_ev_per_atom": 2.4723,
  "lattice_angstrom": [[4.900, 0.000, 0.000], [0.000, 4.844, 0.000], [0.000, 0.000, 4.900]],
  "species": ["Nb", "Nb", "Cu", "Rb", "Cd"],
  "fractional_positions": [[0.000, 0.000, 0.500], [0.500, 0.000, 0.000], [0.000, 0.500, 0.000], [0.000, 0.000, 0.000], [0.500, 0.500, 0.500]]
}

---

{
  "formula": "NaMnHgCl5",
  "functional": "GGA-PBE",
  "state": "relaxed",
  "space_group": "C2/c (15)",
  "formation_energy_uncorrected_ev_per_atom": -1.042,
  "lattice_angstrom": [[-4.905, -1.492, -5.128], [3.271, -6.282, 1.554], [-5.284, 1.686, 7.675]],
  "species": ["Na", "Na", "Mn", "Mn", "Hg", "Hg", "Cl", "Cl", "Cl", "Cl", "Cl", "Cl", "Cl", "Cl", "Cl", "Cl"],
  "fractional_positions": [[0.352, 0.648, 0.250], [0.648, 0.352, 0.750], [0.682, 0.318, 0.250], [0.318, 0.682, 0.750], [0.000, 0.000, 0.500], [0.000, 0.000, 0.000], [0.099, 0.901, 0.250], [0.901, 0.099, 0.750], [0.941, 0.347, 0.138], [0.059, 0.653, 0.862], [0.653, 0.059, 0.362], [0.347, 0.941, 0.638], [0.721, 0.612, 0.441], [0.279, 0.388, 0.559], [0.388, 0.279, 0.059], [0.612, 0.721, 0.941]]
}

---

{
  "formula": "Ac2Zn3NiGe4",
  "functional": "GGA-PBE",
  "state": "relaxed",
  "space_group": "P-4m2 (115)",
  "formation_energy_ev_per_atom": -0.4741,
  "lattice_angstrom": [[-3.752, -0.450, 2.385], [-2.234, -1.072, -3.718], [2.176, -9.914, 1.551]],
  "species": ["Ac", "Ac", "Zn", "Zn", "Zn", "Ni", "Ge", "Ge", "Ge", "Ge"],
  "fractional_positions": [[0.500, 0.000, 0.260], [0.000, 0.500, 0.740], [0.000, 0.000, 0.500], [0.500, 0.000, 0.867], [0.000, 0.500, 0.133], [0.500, 0.500, 0.500], [0.500, 0.500, 0.000], [0.000, 0.000, 0.000], [0.500, 0.000, 0.619], [0.000, 0.500, 0.381]]
}